(1)
# BeSnBi2Rh

A relaxed BeSnBi2Rh crystal (PBEsol, Alexandria).

Lattice parameters (Å, degrees): 5.268 5.268 4.967 90.00 90.00 90.00
Positions (direct):
Be 0.000 0.000 0.000
Sn 0.500 0.500 0.000
Bi 0.000 0.500 0.500
Bi 0.500 0.000 0.500
Rh 0.500 0.500 0.500

**Calculated total energy**: -21.57 eV for the cell shown
**Energy relative to the elements**: 3.4 eV per formula unit

(2)
# Be2BiS2

A relaxed Be2BiS2 crystal (PBEsol, Alexandria).

Lattice parameters (Å, degrees): 7.452 7.452 3.113 90.00 90.00 90.00
Positions (direct):
Be 0.098 0.402 0.000
Be 0.402 0.902 0.000
Be 0.598 0.098 0.000
Be 0.902 0.598 0.000
Bi 0.000 0.000 0.500
Bi 0.500 0.500 0.500
S 0.133 0.633 0.500
S 0.367 0.133 0.500
S 0.633 0.867 0.500
S 0.867 0.367 0.500

**Formation energy without anion corrections**: 0.278 eV/atom
**Calculated total energy**: -39.33 eV for the cell shown

(3)
# Be2TlBiSb

A relaxed Be2TlBiSb crystal (PBEsol, Alexandria).

Lattice parameters (Å, degrees): 4.532 4.532 6.140 90.00 90.00 90.00
Positions (direct):
Be 0.000 0.500 0.000
Be 0.500 0.000 0.000
Tl 0.000 0.000 0.000
Bi 0.500 0.500 0.500
Sb 0.000 0.000 0.500

**Formation energy without anion corrections**: 0.868 eV/atom
**Calculated total energy**: -15.13 eV for the cell shown

(4)
# ScBeBi3

A relaxed ScBeBi3 crystal (PBEsol, Alexandria).

Lattice parameters (Å, degrees): 5.477 5.477 5.477 90.00 90.00 90.00
Positions (direct):
Sc 0.000 0.000 0.000
Be 0.500 0.500 0.500
Bi 0.000 0.000 0.500
Bi 0.000 0.500 0.000
Bi 0.500 0.000 0.000

**Calculated total energy**: -19.75 eV for the cell shown
**Energy relative to the elements**: 3.7 eV per formula unit

(5)
# Sc2BeBiSe

A relaxed Sc2BeBiSe crystal (PBEsol, Alexandria).

Lattice parameters (Å, degrees): 5.059 5.059 4.176 90.00 90.00 90.00
Positions (direct):
Sc 0.000 0.500 0.000
Sc 0.500 0.000 0.000
Be 0.000 0.000 0.500
Bi 0.500 0.500 0.500
Se 0.000 0.000 0.000

**Formation energy without anion corrections**: -0.324 eV/atom
**Calculated total energy**: -26.97 eV for the cell shown

(6)
# TiBeBi2Se

A relaxed TiBeBi2Se crystal (PBEsol, Alexandria).

Lattice parameters (Å, degrees): 5.397 5.397 4.688 90.00 90.00 90.00
Positions (direct):
Ti 0.000 0.000 0.000
Be 0.500 0.500 0.500
Bi 0.000 0.500 0.000
Bi 0.500 0.000 0.000
Se 0.000 0.000 0.500

**Formation energy without anion corrections**: 0.509 eV/atom
**Calculated total energy**: -22.20 eV for the cell shown